Entry 1:
Here is a relaxed structure of NpPaTcAs from Alexandria via LeMat-Bulk. Energies are from GGA-PBE.

Results
As for the space-group type: F-43m, No. 216. The formation energy is -0.0064 eV/atom. Its volume is 77.8 Å³ per cell. As for the final energy: -37.48 eV for the cell shown. Its density is 13.67 g/cm3.

The structure in POSCAR format:
```
NpPaTcAs
1.0
-0.979 -3.596 3.014
-2.284 -3.903 -1.588
2.349 -4.160 -0.389
Np As Pa Tc
1 1 1 1
direct
0.250 0.250 0.250
0.750 0.750 0.750
0.500 0.500 0.500
0.000 0.000 0.000
```

Entry 2:
Here is a relaxed structure of La4NiHg from Alexandria via LeMat-Bulk. Energies are from GGA-PBE.

Results
As for the space-group type: P2_1/m, No. 11. The formation energy is -0.2684 eV/atom. Its volume is 365.1 Å³ per cell. As for the final energy: -54.81 eV for the cell shown. Its density is 7.41 g/cm3.

The structure in POSCAR format:
```
La4NiHg
1.0
-2.970 1.190 -5.166
4.949 -3.768 -3.714
-2.203 -7.813 4.992
La Ni Hg
8 2 2
direct
0.551 0.250 0.442
0.449 0.750 0.558
0.693 0.250 0.876
0.307 0.750 0.124
0.910 0.005 0.277
0.090 0.505 0.723
0.910 0.495 0.277
0.090 0.995 0.723
0.204 0.250 0.552
0.796 0.750 0.448
0.326 0.250 0.063
0.674 0.750 0.937
```

Entry 3:
Here is a relaxed structure of SrPmAlS4 from Alexandria via LeMat-Bulk. Energies are from GGA-PBE.

Results
As for the space-group type: P2_1/m, No. 11. The calculation puts the energy relative to the elements, uncorrected at -1749 meV per atom. Its volume is 342.3 Å³ per cell. As for the final energy: -77.86 eV for the cell shown. Its density is 3.76 g/cm3.

The structure in POSCAR format:
```
SrPmAlS4
1.0
6.608 0.000 0.073
0.000 6.674 0.000
-2.496 0.000 7.733
Sr Pm Al S
2 2 2 8
direct
0.742 0.750 0.936
0.258 0.250 0.064
0.780 0.750 0.447
0.220 0.250 0.553
0.239 0.750 0.315
0.761 0.250 0.685
0.997 0.503 0.737
0.003 0.003 0.263
0.003 0.497 0.263
0.997 0.997 0.737
0.437 0.750 0.136
0.563 0.250 0.864
0.436 0.750 0.589
0.564 0.250 0.411
```

Entry 4:
Here is a relaxed structure of Pr8AlGe3I4 from Alexandria via LeMat-Bulk. Energies are from GGA-PBE.

Results
As for the space-group type: R-3m, No. 166. The calculation puts the energy relative to the elements, uncorrected at -917 meV per atom. Its volume is 521.9 Å³ per cell. As for the final energy: -76.70 eV for the cell shown. Its density is 5.98 g/cm3.

The structure in POSCAR format:
```
Pr8AlGe3I4
1.0
-4.351 -5.598 -5.281
-5.271 -2.629 7.128
0.385 8.596 -2.030
Pr Al Ge I
8 1 3 4
direct
0.237 0.706 0.969
0.237 0.706 0.474
0.267 0.300 0.533
0.732 0.706 0.969
0.268 0.294 0.031
0.733 0.700 0.467
0.763 0.294 0.526
0.763 0.294 0.031
0.000 0.500 0.000
0.500 0.500 0.000
0.500 0.500 0.500
0.000 0.500 0.500
0.500 0.000 0.000
0.500 0.000 0.500
0.000 0.000 0.000
0.000 0.000 0.500
```

Entry 5:
Here is a relaxed structure of Mg6In12Pb from Alexandria via LeMat-Bulk. Energies are from GGA-PBE.

Results
As for the space-group type: R-3, No. 148. The formation energy is 0.0019 eV/atom. Its volume is 493.5 Å³ per cell. As for the final energy: -46.10 eV for the cell shown. Its density is 5.82 g/cm3.

The structure in POSCAR format:
```
Mg6In12Pb
1.0
-5.514 -3.394 -4.550
5.369 -3.714 -4.473
-0.224 -6.557 4.425
Mg In Pb
6 12 1
direct
0.267 0.120 0.723
0.880 0.277 0.733
0.277 0.733 0.880
0.733 0.880 0.277
0.120 0.723 0.267
0.723 0.267 0.120
0.578 0.194 0.480
0.194 0.480 0.578
0.480 0.578 0.194
0.422 0.806 0.520
0.806 0.520 0.422
0.520 0.422 0.806
0.955 0.843 0.618
0.382 0.045 0.157
0.157 0.382 0.045
0.045 0.157 0.382
0.618 0.955 0.843
0.843 0.618 0.955
0.000 0.000 0.000
```

Entry 6:
Here is a relaxed structure of LiPr2PbO5 from Alexandria via LeMat-Bulk. Energies are from GGA-PBE.

Results
As for the space-group type: P4/mbm, No. 127. The calculation puts the energy relative to the elements, uncorrected at -2018 meV per atom. Its volume is 306.3 Å³ per cell. As for the final energy: -116.27 eV for the cell shown. Its density is 6.24 g/cm3.

The structure in POSCAR format:
```
LiPr2PbO5
1.0
6.462 0.000 0.000
0.000 6.885 0.000
0.000 0.000 6.885
Li Pr Pb O
2 4 2 10
direct
0.000 0.500 0.500
0.000 0.000 0.000
0.500 0.675 0.175
0.500 0.175 0.325
0.500 0.825 0.675
0.500 0.325 0.825
0.000 0.000 0.500
0.000 0.500 0.000
0.500 0.500 0.500
0.500 0.000 0.000
0.264 0.146 0.646
0.264 0.854 0.354
0.264 0.354 0.146
0.264 0.646 0.854
0.736 0.146 0.646
0.736 0.646 0.854
0.736 0.854 0.354
0.736 0.354 0.146
```

Entry 7:
Here is a relaxed structure of KRe from Alexandria via LeMat-Bulk. Energies are from GGA-PBE.

Results
As for the space-group type: Pmmn, No. 59. The formation energy is 0.8839 eV/atom. Its volume is 121.3 Å³ per cell. As for the final energy: -23.56 eV for the cell shown. Its density is 6.17 g/cm3.

The structure in POSCAR format:
```
KRe
1.0
-0.553 1.585 2.395
-3.817 0.502 -1.213
-2.718 -8.536 5.024
K Re
2 2
direct
0.000 0.000 0.124
0.500 0.500 0.709
0.500 0.000 0.448
0.000 0.500 0.386
```

Entry 8:
Here is a relaxed structure of MnCrCo from Alexandria via LeMat-Bulk. Energies are from GGA-PBE.

Results
As for the space-group type: F-43m, No. 216. The formation energy is 0.5851 eV/atom. Its volume is 40.0 Å³ per cell. As for the final energy: -24.14 eV for the cell shown. Its density is 6.88 g/cm3.

The structure in POSCAR format:
```
MnCrCo
1.0
-3.388 -1.773 0.341
-0.562 -3.407 -1.679
-0.301 -3.170 2.144
Co Cr Mn
1 1 1
direct
0.500 0.500 0.500
0.750 0.750 0.750
0.000 0.000 0.000
```

Entry 9:
Here is a relaxed structure of CsLaTe3Pb from Alexandria via LeMat-Bulk. Energies are from GGA-PBE.

Results
As for the space-group type: P2_1/m, No. 11. The calculation puts the energy relative to the elements, uncorrected at -1087 meV per atom. Its volume is 552.7 Å³ per cell. As for the final energy: -50.87 eV for the cell shown. Its density is 5.18 g/cm3.

The structure in POSCAR format:
```
CsLaTe3Pb
1.0
4.663 0.000 0.000
0.000 9.979 -0.574
0.000 -3.217 12.063
Cs La Te Pb
2 2 6 2
direct
0.250 0.232 0.270
0.750 0.768 0.730
0.250 0.645 0.152
0.750 0.355 0.848
0.750 0.887 0.203
0.250 0.113 0.797
0.250 0.661 0.420
0.750 0.339 0.580
0.750 0.413 0.114
0.250 0.587 0.886
0.250 0.134 0.565
0.750 0.866 0.435
```

Entry 10:
Here is a relaxed structure of Na2BeIrO6 from Alexandria via LeMat-Bulk. Energies are from GGA-PBE.

Results
As for the space-group type: P-3m1, No. 164. The calculation puts the energy relative to the elements, uncorrected at -1016 meV per atom. Its volume is 122.9 Å³ per cell. As for the final energy: -55.13 eV for the cell shown. Its density is 4.64 g/cm3.

The structure in POSCAR format:
```
Na2BeIrO6
1.0
4.629 0.000 0.000
0.000 5.538 0.000
0.000 -2.769 4.796
Na Be Ir O
2 1 1 6
direct
0.136 0.333 0.667
0.864 0.667 0.333
0.000 0.000 0.000
0.500 0.000 0.000
0.761 0.154 0.307
0.761 0.154 0.846
0.761 0.693 0.846
0.239 0.846 0.154
0.239 0.307 0.154
0.239 0.846 0.693
```

Entry 11:
Here is a relaxed structure of Cr2SiN2 from Alexandria via LeMat-Bulk. Energies are from GGA-PBE.

Results
As for the space-group type: P4/mbm, No. 127. The calculation puts the energy relative to the elements, uncorrected at 355 meV per atom. Its volume is 90.2 Å³ per cell. As for the final energy: -79.09 eV for the cell shown. Its density is 5.90 g/cm3.

The structure in POSCAR format:
```
Cr2SiN2
1.0
5.860 0.000 0.000
0.000 5.860 0.000
0.000 0.000 2.626
Cr Si N
4 2 4
direct
0.161 0.661 0.500
0.661 0.839 0.500
0.839 0.339 0.500
0.339 0.161 0.500
0.000 0.000 0.000
0.500 0.500 0.000
0.352 0.852 0.000
0.852 0.648 0.000
0.648 0.148 0.000
0.148 0.352 0.000
```

Entry 12:
Here is a relaxed structure of Sn3RuAu from Alexandria via LeMat-Bulk. Energies are from GGA-PBE.

Results
As for the space-group type: Pm-3m, No. 221. The formation energy is 0.1389 eV/atom. Its volume is 132.2 Å³ per cell. As for the final energy: -23.87 eV for the cell shown. Its density is 8.22 g/cm3.

The structure in POSCAR format:
```
Sn3RuAu
1.0
-1.859 3.909 2.687
0.396 -2.748 4.271
4.726 1.767 0.699
Ru Au Sn
1 1 3
direct
0.000 0.000 0.000
0.500 0.500 0.500
0.000 0.500 0.000
0.000 0.000 0.500
0.500 0.000 0.000
```